No. 1
Entry from the Alexandria database: Th6Ge2BiTe3 after structural relaxation (PBE).

Lattice parameters (Å, degrees): 19.3736 4.4215 8.9414 90.00 103.02 90.00
Last column: nearest neighbours and their distance in Å.
Space group C2/m (No. 12)
Inequivalent atoms, fractional coordinates:
Th 0.0135 0.0000 0.2616 (multiplicity 4)  1 Ge 2.95, 3 Te 3.12-3.27, 2 Bi 3.19
Th 0.1720 0.5000 0.1139 (multiplicity 4)  2 Ge 2.98, 3 Te 3.19-3.30, 1 Bi 3.26
Th 0.1732 0.5000 0.5672 (multiplicity 4)  3 Ge 2.97-3.01, 3 Te 3.27-3.31
Ge 0.1696 0.0000 0.3366 (multiplicity 4)  6 Th 2.95-3.01
Bi 0.0000 0.5000 0.0000 (multiplicity 2)  6 Th 3.19-3.26
Te 0.0000 0.5000 0.5000 (multiplicity 2)  6 Th 3.12-3.27
Te 0.1596 0.0000 0.8344 (multiplicity 4)  6 Th 3.19-3.31

Values from the calculation:
**Mass density**: 9.476 Mg/m³
**E**: -156.4 eV/cell


No. 2
Entry from the Alexandria database: B3SbI after structural relaxation (PBE).

Lattice parameters (Å, degrees): 4.4602 4.4602 4.4602 90.00 90.00 90.00
Last column: nearest neighbours and their distance in Å.
Space group Pm-3m (No. 221)
Inequivalent atoms, fractional coordinates:
B 0.0000 0.0000 0.5000 (multiplicity 3)  2 I 2.23
Sb 0.5000 0.5000 0.5000 (multiplicity 1)  12 B 3.15
I 0.0000 0.0000 0.0000 (multiplicity 1)  6 B 2.23

Values from the calculation:
**Relative energy among the computed polymorphs**: 0.3792 eV per atom
**Mass density**: 5.261 Mg/m³


No. 3
Entry from the Alexandria database: Li2CaGa2Au2 after structural relaxation (PBE).

Lattice parameters (Å, degrees): 7.7696 4.5107 7.9882 90.00 109.18 90.00
Last column: nearest neighbours and their distance in Å.
Space group C2/m (No. 12)
Inequivalent atoms, fractional coordinates:
Li 0.1385 0.0000 0.4164 (multiplicity 4)  1 Au 2.58, 3 Ga 2.73, 1 Li 2.88
Ca 0.0000 0.0000 0.0000 (multiplicity 2)  2 Li 3.14, 6 Au 3.17, 6 Ga 3.46-3.48
Ga 0.0644 0.5000 0.6939 (multiplicity 4)  3 Au 2.64, 3 Li 2.73, 1 Ga 2.93
Au 0.2478 0.5000 0.2417 (multiplicity 4)  1 Li 2.58, 3 Ga 2.64

Values from the calculation:
**ΔE_f**: -572 meV per atom
**Mass density**: 7.377 Mg/m³